## MoOsSe2 (GGA-PBE)

Data for crystalline MoOsSe2 at its relaxed geometry.

Output
* energy above the lowest structure with this stoichiometry: 473 meV/atom
* energy relative to the elements, uncorrected: 485 meV per atom

Geometry as CIF:
```
data_MoOsSe2
_space_group_name_H-M_alt 'I m m 2'
_space_group_IT_number 44
_space_group_name_Hall 'I 2 -2'
_cell_length_a 3.0569
_cell_length_b 4.4042
_cell_length_c 9.6284
_cell_angle_alpha 90.00
_cell_angle_beta 90.00
_cell_angle_gamma 90.00
loop_
_atom_site_label
_atom_site_type_symbol
_atom_site_fract_x
_atom_site_fract_y
_atom_site_fract_z
Mo1 Mo 0.0000 0.0000 0.0000
Os1 Os 0.0000 0.5000 0.7679
Se1 Se 0.0000 0.0000 0.4862
Se2 Se 0.0000 0.5000 0.2646
```